(1)
HgPbAu PBE relaxed; density = 12.46 g cm⁻³; E_form = -0.05 eV per atom; DOS(E_F) = 0.274 states/eV per atom
1.0
6.858 0.000 0.000
0.000 6.858 0.000
0.000 0.000 6.858
Hg Pb Au
4 4 4
Cartesian
0.000 0.000 0.000
0.000 3.429 3.429
3.429 0.000 3.429
3.429 3.429 0.000
0.000 0.000 3.429
0.000 3.429 0.000
3.429 0.000 0.000
3.429 3.429 3.429
1.714 1.714 5.143
1.714 5.143 1.714
5.143 1.714 1.714
5.143 5.143 5.143

(2)
Sm2ZnN PBE relaxed; density = 6.52 g cm⁻³; DOS(E_F) = 0.725 states/eV per atom; energy relative to the elements, uncorrected = -2.05 eV/f.u.
1.0
3.536 0.000 0.000
-1.768 3.062 0.000
0.000 0.000 26.841
Sm Zn N
6 3 3
Cartesian
0.000 0.000 3.123
0.000 0.000 23.718
0.000 2.041 14.771
0.000 2.041 21.017
1.768 1.021 5.824
1.768 1.021 12.070
0.000 0.000 0.000
0.000 2.041 17.894
1.768 1.021 8.947
0.000 0.000 13.420
0.000 2.041 4.473
1.768 1.021 22.367

(3)
TaPb3Au PBE relaxed; density = 10.44 g cm⁻³; E_form = 1.27 eV per atom; DOS(E_F) = 1.199 states/eV per atom
1.0
5.418 0.000 0.000
0.000 5.418 0.000
0.000 0.000 5.418
Ta Pb Au
1 3 1
Cartesian
0.000 0.000 0.000
0.000 2.709 2.709
2.709 0.000 2.709
2.709 2.709 0.000
2.709 2.709 2.709

(4)
YNbF2 PBE relaxed; density = 5.80 g cm⁻³; DOS(E_F) = 0.661 states/eV per atom; energy relative to the elements, uncorrected = -6.91 eV/f.u.
1.0
3.038 0.000 0.000
-1.519 2.631 0.000
0.000 0.000 23.630
Y Nb F
3 3 6
Cartesian
0.000 0.000 0.000
0.000 1.754 15.753
1.519 0.877 7.877
0.000 0.000 11.815
0.000 1.754 3.938
1.519 0.877 19.692
0.000 0.000 9.561
0.000 0.000 14.069
0.000 1.754 1.684
0.000 1.754 6.192
1.519 0.877 17.438
1.519 0.877 21.946

(5)
La6InIr2 PBE relaxed; density = 8.30 g cm⁻³; E_form = -0.41 eV per atom; DOS(E_F) = 0.894 states/eV per atom
1.0
5.866 -2.876 0.000
5.866 2.876 0.000
-5.622 0.000 7.901
La In Ir
6 1 2
Cartesian
-0.633 0.000 1.362
-1.625 0.000 7.193
1.329 0.000 4.323
4.782 0.000 3.578
7.737 0.000 0.709
6.744 0.000 6.539
-2.811 0.000 3.951
2.384 0.000 1.685
3.727 0.000 6.217

(6)
Ti6HN PBE relaxed; density = 4.59 g cm⁻³; DOS(E_F) = 0.639 states/eV per atom; VASP energy = -7.953 eV per atom
1.0
5.143 0.000 0.000
-2.571 4.454 0.000
0.000 0.000 9.547
Ti H N
12 2 2
Cartesian
-0.844 1.527 1.156
-1.671 2.959 3.617
0.844 1.527 3.617
-0.827 4.421 1.156
1.744 0.033 5.930
0.901 1.494 8.391
1.671 2.959 1.156
0.827 4.421 3.617
3.398 0.033 8.391
1.728 2.927 5.930
4.242 1.494 5.930
3.415 2.927 8.391
0.000 0.000 0.000
0.000 0.000 4.774
0.000 2.969 2.387
2.571 1.485 7.160

(7)
YTa2Cd PBE relaxed; density = 10.84 g cm⁻³; E_form = 0.48 eV per atom; DOS(E_F) = 1.110 states/eV per atom
1.0
2.960 0.000 0.000
0.000 4.899 0.000
0.000 0.000 5.948
Y Ta Cd
1 2 1
Cartesian
0.000 0.000 0.000
1.480 2.449 1.436
1.480 2.449 4.513
0.000 0.000 2.974

(8)
CaNi2H4 PBE relaxed; density = 3.78 g cm⁻³; DOS(E_F) = 0.198 states/eV per atom; VASP energy = -4.121 eV per atom
1.0
0.000 6.514 3.051
3.570 0.000 3.051
3.570 6.514 0.000
Ca Ni H
2 4 8
Cartesian
0.000 0.000 0.000
1.785 3.257 1.525
3.577 5.144 3.041
3.563 7.885 3.041
5.348 8.401 4.567
5.362 11.142 4.567
3.749 4.689 1.497
5.187 5.072 3.076
5.176 7.946 3.023
3.391 8.340 1.497
1.964 5.082 3.023
3.402 4.699 4.601
1.954 7.956 3.076
3.739 8.329 4.601

(9)
In3Pd PBE relaxed; density = 8.32 g cm⁻³; E_form = -0.09 eV per atom; DOS(E_F) = 0.501 states/eV per atom
1.0
6.617 0.000 0.000
-3.309 5.731 0.000
0.000 0.000 4.745
In Pd
6 2
Cartesian
0.000 2.011 1.186
-1.567 4.725 1.186
1.742 1.006 3.559
1.567 4.725 1.186
4.875 1.006 3.559
3.309 3.719 3.559
0.000 3.820 3.559
3.309 1.910 1.186

(10)
NaYPa2O8 PBE relaxed; density = 7.07 g cm⁻³; DOS(E_F) = 0.497 states/eV per atom; energy relative to the elements, uncorrected = -29.17 eV/f.u.
1.0
5.916 0.000 0.000
-2.958 5.123 0.000
0.000 0.000 5.442
Na Y Pa O
1 1 2 8
Cartesian
0.000 0.000 0.000
0.000 0.000 2.721
0.000 3.416 5.037
2.958 1.708 0.404
-0.713 1.757 1.030
-1.080 4.862 1.030
0.000 3.416 3.082
1.166 1.496 4.412
1.792 3.628 1.030
2.958 1.708 2.360
4.038 0.262 4.412
3.671 3.366 4.412

(11)
Sc2TlPd8 PBE relaxed; density = 10.30 g cm⁻³; E_form = -0.57 eV per atom; DOS(E_F) = 0.437 states/eV per atom
1.0
7.245 -2.042 0.000
7.245 2.042 0.000
-1.777 0.000 6.246
Sc Tl Pd
2 1 8
Cartesian
2.883 0.000 1.036
9.830 0.000 5.210
6.356 0.000 3.123
0.205 0.000 1.383
0.901 0.000 4.410
3.617 0.000 3.676
5.781 0.000 0.239
6.932 0.000 6.007
9.096 0.000 2.570
11.812 0.000 1.836
12.508 0.000 4.863

(12)
K2LaW PBE relaxed; density = 4.27 g cm⁻³; E_form = 0.96 eV per atom; DOS(E_F) = 0.828 states/eV per atom
1.0
3.218 0.000 0.000
0.000 4.595 0.000
-0.197 0.000 10.549
K La W
2 1 1
Cartesian
0.000 0.000 0.000
1.409 2.298 6.641
1.476 2.298 3.013
3.074 0.000 3.980

(13)
Cs4Np3AgO12 PBE relaxed; density = 7.24 g cm⁻³; DOS(E_F) = 0.545 states/eV per atom; energy relative to the elements, uncorrected = -45.76 eV/f.u.
1.0
-4.455 4.455 4.455
4.455 -4.455 4.455
4.455 4.455 -4.455
Cs Np Ag O
4 3 1 12
Cartesian
2.228 2.228 -2.228
2.228 -2.228 2.228
-2.228 2.228 2.228
2.228 2.228 2.228
4.455 0.000 0.000
0.000 4.455 0.000
0.000 0.000 4.455
0.000 0.000 0.000
2.570 0.000 0.000
6.340 0.000 0.000
4.455 2.228 0.000
4.455 0.000 2.228
0.000 2.570 0.000
0.000 0.000 2.570
2.228 4.455 0.000
2.228 0.000 4.455
0.000 6.340 0.000
0.000 0.000 6.340
0.000 4.455 2.228
0.000 2.228 4.455

(14)
HfZr2Hg PBE relaxed; density = 10.41 g cm⁻³; E_form = -0.13 eV per atom; DOS(E_F) = 1.030 states/eV per atom
1.0
3.199 0.000 0.000
0.000 3.199 0.000
0.000 0.000 8.754
Hf Zr Hg
1 2 1
Cartesian
0.000 0.000 0.000
1.599 1.599 2.198
1.599 1.599 6.555
0.000 0.000 4.377

(15)
NaLaSbAu PBE relaxed; density = 7.38 g cm⁻³; energy relative to the elements, uncorrected = -3.04 eV/f.u.
1.0
7.563 0.000 0.000
0.000 7.563 0.000
0.000 0.000 7.563
Na La Sb Au
4 4 4 4
Cartesian
0.000 0.000 0.000
0.000 3.781 3.781
3.781 0.000 3.781
3.781 3.781 0.000
0.000 0.000 3.781
0.000 3.781 0.000
3.781 0.000 0.000
3.781 3.781 3.781
1.891 1.891 5.672
1.891 5.672 1.891
5.672 1.891 1.891
5.672 5.672 5.672
1.891 1.891 1.891
1.891 5.672 5.672
5.672 1.891 5.672
5.672 5.672 1.891

(16)
MnBPS2 PBE relaxed; density = 4.01 g cm⁻³; DOS(E_F) = 1.131 states/eV per atom; energy relative to the elements, uncorrected = 5.15 eV/f.u.
1.0
4.135 0.000 0.000
0.000 4.135 0.000
0.000 0.000 3.892
Mn B P S
1 1 1 2
Cartesian
0.000 0.000 0.000
2.068 2.068 1.946
2.068 2.068 0.000
0.000 2.068 1.946
2.068 0.000 1.946

(17)
Fe5Co2Ni2 PBE relaxed; density = 8.18 g cm⁻³; E_form = 0.08 eV per atom; DOS(E_F) = 0.914 states/eV per atom
1.0
-7.289 3.346 2.143
7.289 -3.346 2.143
7.289 3.346 -2.143
Fe Co Ni
10 4 4
Cartesian
3.644 1.673 3.214
1.464 1.138 0.000
5.825 1.138 0.000
2.381 -0.305 2.142
4.908 -0.305 2.142
3.644 1.673 1.071
2.381 3.651 -0.001
4.908 3.651 -0.001
1.464 2.207 2.143
5.825 2.207 2.143
10.933 0.702 -0.001
0.000 0.000 2.137
7.289 0.000 2.137
-3.644 2.643 2.142
8.269 1.090 -0.006
6.308 -2.255 2.136
0.981 5.601 -0.006
-0.981 2.255 2.136

(18)
LiHfTi2B PBE relaxed; density = 5.59 g cm⁻³; E_form = 0.09 eV per atom; DOS(E_F) = 1.686 states/eV per atom
1.0
4.329 0.000 0.000
0.000 4.329 0.000
0.000 0.000 4.625
Li Hf Ti B
1 1 2 1
Cartesian
0.000 0.000 0.000
2.165 2.165 0.000
0.000 2.165 2.313
2.165 0.000 2.313
2.165 2.165 2.313

(19)
Pm5TmMg6 PBE relaxed; density = 5.07 g cm⁻³; E_form = -0.10 eV per atom; DOS(E_F) = 1.095 states/eV per atom
1.0
4.711 -8.143 0.000
4.711 8.143 0.000
-3.124 0.000 4.441
Pm Tm Mg
5 1 6
Cartesian
0.000 0.000 0.000
3.150 5.416 2.221
4.711 2.691 0.000
4.711 -2.691 0.000
3.150 -5.416 2.221
3.150 0.000 2.221
1.584 2.692 1.118
0.037 0.000 3.348
1.584 -2.692 1.118
4.715 2.692 3.323
6.262 0.000 1.093
4.715 -2.692 3.323

(20)
ZnHg2Ru PBE relaxed; density = 12.51 g cm⁻³; E_form = 0.33 eV per atom; DOS(E_F) = 0.921 states/eV per atom
1.0
2.987 0.000 0.000
-1.494 2.587 0.000
0.000 0.000 29.261
Zn Hg Ru
3 6 3
Cartesian
0.000 0.000 0.000
0.000 1.725 19.508
1.494 0.862 9.754
0.000 0.000 15.219
0.000 0.000 22.025
0.000 1.725 5.465
0.000 1.725 12.271
1.494 0.862 2.517
1.494 0.862 24.973
0.000 0.000 7.820
0.000 1.725 27.327
1.494 0.862 17.574